Material: Mo2BrO2
Method: DFT, GGA+U
State: relaxed

The structure in CIF format:
```
data_Mo2BrO2
_chemical_formula_sum 'Mo4 Br2 O4'
_symmetry_space_group_name_H-M 'P 4/m b m'
_symmetry_Int_Tables_number 127
_symmetry_space_group_name_Hall '-P 4 2ab'
_cell_length_a 7.1414
_cell_length_b 7.1414
_cell_length_c 2.9176
_cell_angle_alpha 90.00
_cell_angle_beta 90.00
_cell_angle_gamma 90.00
loop_
_atom_site_label
_atom_site_type_symbol
_atom_site_fract_x
_atom_site_fract_y
_atom_site_fract_z
Mo1 Mo 0.1190 0.3810 0.0000
Br1 Br 0.0000 0.0000 0.0000
O1 O 0.1195 0.6195 0.5000
```

Calculated values
total magnetic moment: 1.61 Bohr magnetons per cell
energy above the most stable polymorph in this dataset: 916.6 meV/atom
VASP energy: -4.961 eV/atom
calculated volume: 14.9 Å³ per atom
ρ: 6.8 Mg/m³